The following is a PBE calculation of a geometry-optimized SrMnMo2 structure, from Alexandria.

POSCAR file:
```
SrMnMo2
1.0
-4.975 1.473 -2.253
-4.260 -3.711 -0.266
3.727 1.961 3.776
Mn Mo Sr
1 2 1
direct
0.750 0.250 0.500
0.000 0.000 0.000
0.500 0.500 0.000
0.250 0.750 0.500
```

The formation energy is 1.11 eV/atom. Its symmetry is I4/mmm (139).